(1)
The following is a DFT calculation (PBE) of Cs4ZrSe4 after structural relaxation.

Values from the calculation:
- E_tot (eV/atom) = -4.19
- density of states at the Fermi level (states/eV/cell) = 0.0
- crystal system = tetragonal
- E_form (uncorrected) (kJ/mol of atoms) = -126

abc: 7.4323 8.9642 7.4323
angles: 65.51 90.00 114.49
With the nearest neighbours (Å) after each atom.
Fractional positions:
Cs: 0.1604 0.7142 0.4462  6 Se 3.68-3.84, 1 Zr 3.80
Cs: 0.5538 0.7142 0.8396  6 Se 3.68-3.84, 1 Zr 3.80
Cs: 0.4462 0.2858 0.5538  6 Se 3.68-3.84, 1 Zr 3.80
Cs: 0.8396 0.2858 0.1604  6 Se 3.68-3.84, 1 Zr 3.80
Zr: 0.0000 0.0000 0.0000  4 Se 2.56
Se: 0.3005 0.2070 0.0935  1 Zr 2.56
Se: 0.9065 0.2070 0.6995  1 Zr 2.56
Se: 0.0935 0.7930 0.9065  1 Zr 2.56
Se: 0.6995 0.7930 0.3005  1 Zr 2.56


(2)
The following is a DFT calculation (PBE) of Tl7CdHg3 after structural relaxation.

Values from the calculation:
- E_tot (eV/atom) = -1.66
- density of states at the Fermi level (states/eV/cell) = 5.4
- energy of formation from the pure elements (eV/atom) = 0.01
- energy above the lowest structure with this stoichiometry (eV/f.u.) = 0.00
- crystal system = triclinic

abc: 8.7945 6.6262 6.2586
angles: 93.45 64.42 80.10
With the nearest neighbours (Å) after each atom.
Fractional positions:
Tl: 0.7902 0.8401 0.7375  2 Hg 3.22-3.23, 1 Cd 3.30, 5 Tl 3.43-3.57
Tl: 0.9150 0.3192 0.8561  1 Cd 3.24, 2 Hg 3.25-3.34, 5 Tl 3.45-3.57
Tl: 0.4970 0.2307 0.2134  3 Hg 3.18-3.26, 4 Tl 3.36-3.56
Tl: 0.3500 0.0797 0.7964  8 Tl 3.42-3.77, 1 Cd 3.43, 3 Hg 3.44-3.47
Tl: 0.6309 0.7033 0.3260  1 Cd 3.32, 4 Hg 3.39-3.60, 7 Tl 3.42-3.70
Tl: 0.0710 0.4603 0.2692  4 Hg 3.32-3.62, 1 Cd 3.33, 7 Tl 3.43-3.70
Tl: 0.2050 0.9318 0.3783  2 Hg 3.19-3.26, 1 Cd 3.26, 5 Tl 3.36-3.56
Cd: 0.9772 0.9062 0.0862  2 Hg 3.02-3.03, 5 Tl 3.24-3.33
Hg: 0.7321 0.2439 0.4967  1 Cd 3.02, 1 Hg 3.09, 4 Tl 3.22-3.34
Hg: 0.4795 0.5947 0.9106  2 Hg 3.09-3.15, 4 Tl 3.18-3.44
Hg: 0.2270 0.5650 0.6795  1 Cd 3.03, 1 Hg 3.15, 3 Tl 3.19-3.25


(3)
The following is a DFT calculation (PBE) of LaYSb2 after structural relaxation.

Values from the calculation:
- E_tot (eV/atom) = -5.82
- density of states at the Fermi level (states/eV/cell) = 1.9
- energy above the lowest structure with this stoichiometry (eV/f.u.) = 1.22
- crystal system = cubic
- E_form (uncorrected) (kJ/mol of atoms) = -88

abc: 5.4942 5.4942 5.4942
angles: 60.00 60.00 60.00
With the nearest neighbours (Å) after each atom.
Fractional positions:
Y: 0.0000 0.0000 0.0000  8 Sb 3.36
Sb: 0.2500 0.2500 0.2500  4 La 3.36, 4 Y 3.36
Sb: 0.7500 0.7500 0.7500  4 La 3.36, 4 Y 3.36
La: 0.5000 0.5000 0.5000  8 Sb 3.36


(4)
The following is a DFT calculation (PBE) of Al5Ga12Hg3 after structural relaxation.

Values from the calculation:
- E_tot (eV/atom) = -2.60
- density of states at the Fermi level (states/eV/cell) = 23.9
- energy of formation from the pure elements (eV/atom) = 0.20
- crystal system = cubic

abc: 13.3948 13.3948 13.3948
angles: 109.47 109.47 109.47
With the nearest neighbours (Å) after each atom.
Fractional positions:
Hg: 0.7500 0.3750 0.1250  8 Ga 2.72-2.96
Hg: 0.8750 0.7500 0.1250  8 Ga 2.72-2.96
Hg: 0.3750 0.7500 0.6250  8 Ga 2.72-2.96
Hg: 0.2500 0.1250 0.3750  8 Ga 2.72-2.96
Hg: 0.8750 0.1250 0.2500  8 Ga 2.72-2.96
Hg: 0.3750 0.6250 0.2500  8 Ga 2.72-2.96
Hg: 0.6250 0.3750 0.7500  8 Ga 2.72-2.96
Hg: 0.1250 0.8750 0.7500  8 Ga 2.72-2.96
Hg: 0.7500 0.8750 0.6250  8 Ga 2.72-2.96
Hg: 0.6250 0.2500 0.3750  8 Ga 2.72-2.96
Hg: 0.1250 0.2500 0.8750  8 Ga 2.72-2.96
Hg: 0.2500 0.6250 0.8750  8 Ga 2.72-2.96
Al: 0.1250 0.3750 0.2500  4 Ga 2.56
Al: 0.0000 0.5000 0.0000  6 Ga 2.61
Al: 0.0000 0.0000 0.0000  6 Ga 2.61
Al: 0.3750 0.2500 0.1250  4 Ga 2.56
Al: 0.5000 0.0000 0.5000  6 Ga 2.61
Al: 0.5000 0.5000 0.0000  6 Ga 2.61
Al: 0.1250 0.7500 0.3750  4 Ga 2.56
Al: 0.7500 0.1250 0.8750  4 Ga 2.56
Al: 0.7500 0.6250 0.3750  4 Ga 2.56
Al: 0.3750 0.1250 0.7500  4 Ga 2.56
Al: 0.6250 0.8750 0.2500  4 Ga 2.56
Al: 0.5000 0.5000 0.5000  6 Ga 2.61
Al: 0.5000 0.0000 0.0000  6 Ga 2.61
Al: 0.0000 0.0000 0.5000  6 Ga 2.61
Al: 0.2500 0.3750 0.6250  4 Ga 2.56
Al: 0.2500 0.8750 0.1250  4 Ga 2.56
Al: 0.0000 0.5000 0.5000  6 Ga 2.61
Al: 0.8750 0.2500 0.6250  4 Ga 2.56
Al: 0.6250 0.7500 0.8750  4 Ga 2.56
Al: 0.8750 0.6250 0.7500  4 Ga 2.56
Ga: 0.7262 0.1312 0.0588  2 Al 2.56-2.61, 1 Hg 2.72
Ga: 0.3326 0.5588 0.4276  2 Al 2.56-2.61, 1 Hg 2.72
Ga: 0.9412 0.3688 0.2738  2 Al 2.56-2.61, 1 Hg 2.72
Ga: 0.5588 0.2262 0.1312  2 Al 2.56-2.61, 1 Hg 2.72
Ga: 0.5951 0.7262 0.6674  2 Al 2.56-2.61, 1 Hg 2.72
Ga: 0.9412 0.5724 0.1674  2 Al 2.56-2.61, 1 Hg 2.72
Ga: 0.3326 0.7738 0.4049  2 Al 2.56-2.61, 1 Hg 2.72
Ga: 0.0724 0.9049 0.1312  2 Al 2.56-2.61, 1 Hg 2.72
Ga: 0.5724 0.9412 0.6674  2 Al 2.56-2.61, 1 Hg 2.72
Ga: 0.7262 0.5951 0.1674  2 Al 2.56-2.61, 1 Hg 2.72
Ga: 0.7738 0.4412 0.3688  2 Al 2.56-2.61, 1 Hg 2.72
Ga: 0.8326 0.9276 0.0588  2 Al 2.56-2.61, 1 Hg 2.72
Ga: 0.1312 0.7262 0.5588  2 Al 2.56-2.61, 1 Hg 2.72
Ga: 0.3688 0.4276 0.0951  2 Al 2.56-2.61, 1 Hg 2.72
Ga: 0.0951 0.9276 0.3688  2 Al 2.56-2.61, 1 Hg 2.72
Ga: 0.4049 0.1312 0.5724  2 Al 2.56-2.61, 1 Hg 2.72
Ga: 0.0951 0.1674 0.2262  2 Al 2.56-2.61, 1 Hg 2.72
Ga: 0.4412 0.6674 0.0724  2 Al 2.56-2.61, 1 Hg 2.72
Ga: 0.8326 0.9049 0.2738  2 Al 2.56-2.61, 1 Hg 2.72
Ga: 0.1312 0.4049 0.0724  2 Al 2.56-2.61, 1 Hg 2.72
Ga: 0.3688 0.9412 0.7738  2 Al 2.56-2.61, 1 Hg 2.72
Ga: 0.5724 0.6312 0.4049  2 Al 2.56-2.61, 1 Hg 2.72
Ga: 0.9276 0.8326 0.5588  2 Al 2.56-2.61, 1 Hg 2.72
Ga: 0.7738 0.3326 0.9049  2 Al 2.56-2.61, 1 Hg 2.72
Ga: 0.4276 0.3688 0.5951  2 Al 2.56-2.61, 1 Hg 2.72
Ga: 0.0724 0.1674 0.4412  2 Al 2.56-2.61, 1 Hg 2.72
Ga: 0.2262 0.6674 0.0951  2 Al 2.56-2.61, 1 Hg 2.72
Ga: 0.1674 0.0951 0.7262  2 Al 2.56-2.61, 1 Hg 2.72
Ga: 0.6312 0.0588 0.2262  2 Al 2.56-2.61, 1 Hg 2.72
Ga: 0.8688 0.5951 0.9276  2 Al 2.56-2.61, 1 Hg 2.72
Ga: 0.5588 0.3326 0.9276  2 Al 2.56-2.61, 1 Hg 2.72
Ga: 0.5951 0.8688 0.4276  2 Al 2.56-2.61, 1 Hg 2.72
Ga: 0.9049 0.8326 0.7738  2 Al 2.56-2.61, 1 Hg 2.72
Ga: 0.9049 0.0724 0.6312  2 Al 2.56-2.61, 1 Hg 2.72
Ga: 0.8688 0.2738 0.4412  2 Al 2.56-2.61, 1 Hg 2.72
Ga: 0.1674 0.0724 0.9412  2 Al 2.56-2.61, 1 Hg 2.72
Ga: 0.6312 0.5724 0.9049  2 Al 2.56-2.61, 1 Hg 2.72
Ga: 0.4276 0.0588 0.3326  2 Al 2.56-2.61, 1 Hg 2.72
Ga: 0.2738 0.4049 0.8326  2 Al 2.56-2.61, 1 Hg 2.72
Ga: 0.2262 0.5588 0.6312  2 Al 2.56-2.61, 1 Hg 2.72
Ga: 0.9276 0.0951 0.8688  2 Al 2.56-2.61, 1 Hg 2.72
Ga: 0.6674 0.2262 0.5951  2 Al 2.56-2.61, 1 Hg 2.72
Ga: 0.4412 0.7738 0.8688  2 Al 2.56-2.61, 1 Hg 2.72
Ga: 0.0588 0.4276 0.8326  2 Al 2.56-2.61, 1 Hg 2.72
Ga: 0.4049 0.2738 0.3326  2 Al 2.56-2.61, 1 Hg 2.72
Ga: 0.0588 0.6312 0.7262  2 Al 2.56-2.61, 1 Hg 2.72
Ga: 0.6674 0.4412 0.5724  2 Al 2.56-2.61, 1 Hg 2.72
Ga: 0.2738 0.8688 0.9412  2 Al 2.56-2.61, 1 Hg 2.72